# 1
! CdIrPb (PBE, optimized geometry); values from VASP
&SYSTEM
  ibrav = 0, nat = 3, ntyp = 3
/
ATOMIC_SPECIES
Pb 207.20 Pb.upf
Ir 192.22 Ir.upf
Cd 112.41 Cd.upf
CELL_PARAMETERS angstrom
-5.2460 4.7406 1.9230
-6.5842 0.8923 -0.1082
5.3945 -3.7161 1.1177
ATOMIC_POSITIONS crystal
Pb 0.8229 0.6971 0.1258
Ir 0.3338 0.3350 0.9988
Cd 0.8433 0.9679 0.8754
! * raw total energy: -12.842 eV/cell
! * relative energy among the computed polymorphs: 42 meV/atom
! * energy relative to the elements: 0.21 eV per atom


# 2
! CdIrPb2 (PBE, optimized geometry); values from VASP
&SYSTEM
  ibrav = 0, nat = 4, ntyp = 3
/
ATOMIC_SPECIES
Pb 207.20 Pb.upf
Ir 192.22 Ir.upf
Cd 112.41 Cd.upf
CELL_PARAMETERS angstrom
-1.0350 -4.5107 -5.6968
3.8438 -1.6066 -6.0427
-1.0633 0.5889 7.2383
ATOMIC_POSITIONS crystal
Pb 0.0742 0.0742 0.0000
Pb 0.4258 0.4258 0.0000
Ir 0.2500 0.7500 0.5000
Cd 0.7500 0.2500 0.5000
! * raw total energy: -16.631 eV/cell
! * energy relative to the elements: 0.14 eV per atom


# 3
! CdIr2Pb (PBE, optimized geometry); values from VASP
&SYSTEM
  ibrav = 0, nat = 4, ntyp = 3
/
ATOMIC_SPECIES
Pb 207.20 Pb.upf
Ir 192.22 Ir.upf
Cd 112.41 Cd.upf
CELL_PARAMETERS angstrom
8.9505 -0.0676 -0.0398
8.4271 3.0167 -0.0398
8.4271 1.4301 2.6565
ATOMIC_POSITIONS crystal
Pb 0.2500 0.2500 0.2500
Ir 0.9998 0.9998 0.9998
Ir 0.5002 0.5002 0.5002
Cd 0.7500 0.7500 0.7500
! * raw total energy: -20.267 eV/cell
! * relative energy among the computed polymorphs: 188 meV/atom
! * energy relative to the elements: 0.52 eV per atom


# 4
! CdIr2Pb (PBE, optimized geometry); values from VASP
&SYSTEM
  ibrav = 0, nat = 4, ntyp = 3
/
ATOMIC_SPECIES
Pb 207.20 Pb.upf
Ir 192.22 Ir.upf
Cd 112.41 Cd.upf
CELL_PARAMETERS angstrom
-3.0359 -0.2090 0.8342
0.1969 -3.6563 -0.1994
1.6696 -0.2382 6.0169
ATOMIC_POSITIONS crystal
Pb 0.5000 0.5000 0.2500
Ir 0.0000 0.0000 0.9971
Ir 0.0000 0.0000 0.5029
Cd 0.5000 0.5000 0.7500
! * raw total energy: -20.743 eV/cell
! * relative energy among the computed polymorphs: 69 meV/atom
! * energy relative to the elements: 0.40 eV per atom